PBE Li2IrPt2O6, optimized geometry; space-group type = C2/m; energy relative to the elements, uncorrected = -797.2 meV/atom; calculated total energy = -5.7535 eV/atom
1.0
-5.4146 0.0638 0.8366
1.8432 -3.5605 -3.7346
1.8163 -1.9671 4.4435
O Pt Li Ir
6 2 2 1
Cartesian
-1.4369 -4.0643 0.9410
-0.7840 -1.5999 3.2600
1.6926 -2.8366 1.7002
-3.4477 -2.6272 -0.1547
-0.3181 -1.3995 0.6045
-0.9711 -3.8640 -1.7145
-2.0643 -2.1393 1.5202
0.3092 -3.3245 0.0253
-4.1924 -0.5465 0.0668
0.6210 -2.9502 -2.9648
0.9082 -0.9835 2.2218

***

PBE LiIrPtO4, optimized geometry; space-group type = Imma; energy relative to the elements, uncorrected = -861.0 meV/atom; calculated total energy = -6.0965 eV/atom
1.0
-4.0493 4.4973 1.6756
1.5479 -4.4922 4.0318
4.1651 4.3273 -1.5488
O Ir Li Pt
8 2 2 2
Cartesian
-1.1452 2.3452 2.7040
-1.8188 4.3095 0.9392
3.4826 0.0229 3.2194
0.9841 0.0913 2.1331
1.7152 1.9857 3.9508
-0.0515 2.3466 0.2078
0.6796 4.2410 2.0255
2.8089 1.9872 1.4546
0.8319 2.1662 2.0793
2.8565 -0.0825 1.2415
3.5468 3.2244 -0.0829
-1.8831 1.1080 4.2415
-2.0247 2.2487 0.8378
0.0579 4.4123 0.0634